# Zr2AgIO8 | Alexandria via LeMat-Bulk | PBE-GGA | relaxed
data_Zr2AgIO8
_chemical_formula_sum 'Zr4 Ag2 I2 O16'
_space_group_name_H-M_alt 'C m m m'
_space_group_IT_number 65
_space_group_name_Hall '-C 2 2'
_cell_length_a 6.8234
_cell_length_b 6.8804
_cell_length_c 6.7969
_cell_angle_alpha 90.00
_cell_angle_beta 90.00
_cell_angle_gamma 90.00
loop_
_atom_site_label
_atom_site_type_symbol
_atom_site_fract_x
_atom_site_fract_y
_atom_site_fract_z
_atom_site_occupancy
Zr1 Zr 0.0000 0.0000 0.2390 1
Ag1 Ag 0.0000 0.5000 0.0000 1
I1 I 0.0000 0.5000 0.5000 1
O1 O 0.0000 0.1824 0.0000 1
O2 O 0.0000 0.2138 0.5000 1
O3 O 0.1969 0.5000 0.2943 1
# DFT total energy ... -6.7521 eV/atom
# E_form (uncorrected) ... -1655 meV per atom


# AgOsI3 | Alexandria via LeMat-Bulk | PBE-GGA | relaxed
data_AgOsI3
_chemical_formula_sum 'Ag1 Os1 I3'
_space_group_name_H-M_alt 'P m -3 m'
_space_group_IT_number 221
_space_group_name_Hall '-P 4 2 3'
_cell_length_a 5.4580
_cell_length_b 5.4580
_cell_length_c 5.4580
_cell_angle_alpha 90.00
_cell_angle_beta 90.00
_cell_angle_gamma 90.00
loop_
_atom_site_label
_atom_site_type_symbol
_atom_site_fract_x
_atom_site_fract_y
_atom_site_fract_z
_atom_site_occupancy
Ag1 Ag 0.0000 0.0000 0.0000 1
Os1 Os 0.5000 0.5000 0.5000 1
I1 I 0.0000 0.5000 0.5000 1
# ΔE to the lowest computed polymorph ... 0.00 kcal/mol of atoms
# DFT total energy ... -2.9889 eV/atom
# E_form (uncorrected) ... 757 meV per atom


# AgPOsI2 | Alexandria via LeMat-Bulk | PBE-GGA | relaxed
data_AgPOsI2
_chemical_formula_sum 'Ag1 P1 Os1 I2'
_space_group_name_H-M_alt 'P 4/m m m'
_space_group_IT_number 123
_space_group_name_Hall '-P 4 2'
_cell_length_a 5.6281
_cell_length_b 5.6281
_cell_length_c 5.2927
_cell_angle_alpha 90.00
_cell_angle_beta 90.00
_cell_angle_gamma 90.00
loop_
_atom_site_label
_atom_site_type_symbol
_atom_site_fract_x
_atom_site_fract_y
_atom_site_fract_z
_atom_site_occupancy
Ag1 Ag 0.0000 0.0000 0.0000 1
P1 P 0.5000 0.5000 0.5000 1
Os1 Os 0.0000 0.0000 0.5000 1
I1 I 0.0000 0.5000 0.0000 1
# DFT total energy ... -2.5644 eV/atom
# E_form (uncorrected) ... 1954 meV per atom


# Pr8AgOs3I4 | Alexandria via LeMat-Bulk | PBE-GGA | relaxed
data_Pr8AgOs3I4
_chemical_formula_sum 'Pr24 Ag3 Os9 I12'
_space_group_name_H-M_alt 'R -3 m'
_space_group_IT_number 166
_space_group_name_Hall '-R 3 2"'
_cell_length_a 8.5455
_cell_length_b 8.5455
_cell_length_c 24.6125
_cell_angle_alpha 90.00
_cell_angle_beta 90.00
_cell_angle_gamma 120.00
loop_
_atom_site_label
_atom_site_type_symbol
_atom_site_fract_x
_atom_site_fract_y
_atom_site_fract_z
_atom_site_occupancy
Pr1 Pr 0.0000 0.0000 0.2293 1
Pr2 Pr 0.0241 0.5121 0.7708 1
Ag1 Ag 0.0000 0.0000 0.5000 1
Os1 Os 0.0000 0.5000 0.5000 1
I1 I 0.0000 0.0000 0.0000 1
I2 I 0.0000 0.5000 0.0000 1
# DFT total energy ... -5.6248 eV/atom
# E_form (uncorrected) ... -564 meV per atom


Calculated M_tot in order - 0.00, 0.29, 1.23, 0.00 μB/atom